An optimized crystal structure of LiMnZn2O4. Source: the Alexandria database, functional PBE with a Hubbard U.

Calculated values
VASP energy = -5.46 eV/atom

Cell: 6.357 6.465 9.467 Å, 90.00 90.00 90.00°
Space group Fmm2 (No. 42)
One atom of each set of equivalent atoms:
Li: 0.000 0.000 0.000 [4 per cell]
Mn: 0.000 0.000 0.509 [4 per cell]
Zn: 0.250 0.250 0.257 [8 per cell]
O: 0.000 0.243 0.381 [8 per cell]
O: 0.237 0.000 0.631 [8 per cell]